5
Lattice="-4.061 1.021 -0.148 -0.675 -3.080 -2.759 1.304 -2.573 5.732" Properties=species:S:1:pos:R:3 comment="CeZn3Ag | Alexandria | PBE-GGA | optimized geometry" dos_at_fermi_per_ev_cell=8.6 energy_ev_per_fu=-13.5 formation_energy_ev_per_atom=-0.176 pbc="T T T"
Ce -0.868 -2.939 3.490
Zn -2.337 -0.526 1.158
Zn -0.643 -2.577 -0.148
Zn -0.031 -0.102 0.120
Ag -2.978 -3.099 1.005